1.
Here is a relaxed YAs2Se crystal from Alexandria via LeMat-Bulk. Energies are from GGA-PBE.

Output
ΔE_f (raw) ... -0.6694 eV/atom

Unit cell a=3.9272 b=3.9287 c=5.8462 alpha=90.00 beta=90.00 gamma=90.00
Atoms (fractional coordinates):
Y: 0.0000 0.5000 0.5000
As: 0.0000 0.0000 0.0000
Se: 0.5000 0.0000 0.5000
As: 0.5000 0.5000 0.0000


2.
Here is a relaxed TaAlHg2 crystal from Alexandria via LeMat-Bulk. Energies are from GGA-PBE.

Output
DFT formation energy ... 0.435 eV per atom

Unit cell a=3.3499 b=3.3499 c=6.8311 alpha=90.00 beta=90.00 gamma=90.00
Atoms (fractional coordinates):
Ta: 0.5000 0.5000 0.2500
Hg: 0.0000 0.0000 0.5147
Al: 0.5000 0.5000 0.7500
Hg: 0.0000 0.0000 0.9853


3.
Here is a relaxed Ga2CoAs crystal from Alexandria via LeMat-Bulk. Energies are from GGA-PBE.

Output
DFT formation energy ... 0.359 eV per atom

Unit cell a=5.6330 b=5.6330 c=6.7976 alpha=65.52 beta=65.52 gamma=90.00
Atoms (fractional coordinates):
Ga: 0.1505 0.6250 0.2500
Ga: 0.8750 0.8495 0.7500
Co: 0.2500 0.7500 0.5000
Ga: 0.5995 0.1250 0.2500
As: 0.7500 0.2500 0.5000
Co: 0.5000 0.5000 0.0000
Ga: 0.3750 0.4005 0.7500
As: 0.0000 0.0000 0.0000


no.,M_tot (μB per formula unit)
1,0.00
2,0.00
3,0.00